Here is crystalline VCo2Ni7 at its relaxed geometry from Alexandria via LeMat-Bulk. Energies are from PBE.

Cell and atoms, written as extended XYZ:
```
10
Lattice="3.192 -6.011 0.000 3.192 6.011 0.000 0.000 0.000 3.625" Properties=species:S:1:pos:R:3 pbc="T T T"
V 0.000 0.000 0.000
Co 3.192 2.367 1.812
Co 3.192 -2.367 1.812
Ni 1.191 1.241 1.812
Ni 3.192 3.629 0.000
Ni 1.191 -1.241 1.812
Ni 3.192 0.000 1.812
Ni 5.192 1.241 1.812
Ni 3.192 -3.629 0.000
Ni 5.192 -1.241 1.812
```

Raw total energy: -5.821 eV/atom
Space-group type: No. 65
Crystal system: orthorhombic